# FeRh (GGA-PBEsol, optimized geometry)
# Energy relative to the elements in eV/f.u.: 0.15
# Space-group type: Imma (74)
# Calculated density in Mg/m³: 10.4
# D(E_F) in states/eV/cell: 4.98
# Total energy in eV/atom: -8.48
data_FeRh
_chemical_formula_sum 'Fe2 Rh2'
_space_group_name_H-M_alt 'P 1'
_space_group_IT_number 1
_space_group_name_Hall 'P 1'
_cell_length_a 2.858
_cell_length_b 4.202
_cell_length_c 4.918
_cell_angle_alpha 115.29
_cell_angle_beta 106.89
_cell_angle_gamma 90.00
loop_
_atom_site_label
_atom_site_fract_x
_atom_site_fract_y
_atom_site_fract_z
Rh1 0.114 0.864 0.227
Rh2 0.886 0.136 0.773
Fe1 0.636 0.386 0.272
Fe2 0.364 0.614 0.728